No. 1
# Ir2Rh (GGA-PBEsol, relaxed)
data_Ir2Rh
_symmetry_space_group_name_H-M 'P 1'
_symmetry_Int_Tables_number 1
_cell_length_a 2.6952
_cell_length_b 2.6952
_cell_length_c 6.6046
_cell_angle_alpha 90.00
_cell_angle_beta 90.00
_cell_angle_gamma 120.00
loop_
_symmetry_equiv_pos_as_xyz
'x,y,z'
loop_
_atom_site_label
_atom_site_fract_x
_atom_site_fract_y
_atom_site_fract_z
Ir1 0.6667 0.3333 0.3333
Ir2 0.3333 0.6667 0.6667
Rh1 0.0000 0.0000 0.0000
# Formation enthalpy at 0 K (eV per atom): -0.01

No. 2
# KTe8 (GGA-PBEsol, relaxed)
data_KTe8
_symmetry_space_group_name_H-M 'P 1'
_symmetry_Int_Tables_number 1
_cell_length_a 7.4671
_cell_length_b 7.4671
_cell_length_c 7.4671
_cell_angle_alpha 103.32
_cell_angle_beta 103.32
_cell_angle_gamma 122.64
loop_
_symmetry_equiv_pos_as_xyz
'x,y,z'
loop_
_atom_site_label
_atom_site_fract_x
_atom_site_fract_y
_atom_site_fract_z
K1 0.0000 0.0000 0.0000
Te1 0.3416 0.3416 0.6832
Te2 0.6584 0.6584 0.3168
Te3 0.6433 0.0000 0.6433
Te4 0.3416 0.6584 0.0000
Te5 0.0000 0.3567 0.3567
Te6 0.6584 0.3416 0.0000
Te7 0.3567 0.0000 0.3567
Te8 0.0000 0.6433 0.6433
# Total energy (eV per atom): -3.211

No. 3
# MgCdP2 (GGA-PBEsol, relaxed)
data_MgCdP2
_symmetry_space_group_name_H-M 'P 1'
_symmetry_Int_Tables_number 1
_cell_length_a 4.6568
_cell_length_b 4.6568
_cell_length_c 4.6568
_cell_angle_alpha 60.00
_cell_angle_beta 60.00
_cell_angle_gamma 60.00
loop_
_symmetry_equiv_pos_as_xyz
'x,y,z'
loop_
_atom_site_label
_atom_site_fract_x
_atom_site_fract_y
_atom_site_fract_z
Cd1 0.0000 0.0000 0.0000
Mg1 0.5000 0.5000 0.5000
P1 0.2500 0.2500 0.2500
P2 0.7500 0.7500 0.7500
# Formation enthalpy at 0 K (eV per atom): 0.17

No. 4
# HfTcAg2 (GGA-PBEsol, relaxed)
data_HfTcAg2
_symmetry_space_group_name_H-M 'P 1'
_symmetry_Int_Tables_number 1
_cell_length_a 4.5643
_cell_length_b 4.5643
_cell_length_c 4.5643
_cell_angle_alpha 60.00
_cell_angle_beta 60.00
_cell_angle_gamma 60.00
loop_
_symmetry_equiv_pos_as_xyz
'x,y,z'
loop_
_atom_site_label
_atom_site_fract_x
_atom_site_fract_y
_atom_site_fract_z
Hf1 0.5000 0.5000 0.5000
Tc1 0.0000 0.0000 0.0000
Ag1 0.2500 0.2500 0.2500
Ag2 0.7500 0.7500 0.7500
# Formation enthalpy at 0 K (eV per atom): 0.38

No. 5
# SrTiBeW2 (GGA-PBEsol, relaxed)
data_SrTiBeW2
_symmetry_space_group_name_H-M 'P 1'
_symmetry_Int_Tables_number 1
_cell_length_a 4.3231
_cell_length_b 4.3231
_cell_length_c 5.0580
_cell_angle_alpha 90.00
_cell_angle_beta 90.00
_cell_angle_gamma 90.00
loop_
_symmetry_equiv_pos_as_xyz
'x,y,z'
loop_
_atom_site_label
_atom_site_fract_x
_atom_site_fract_y
_atom_site_fract_z
Sr1 0.0000 0.0000 0.5000
Be1 0.0000 0.0000 0.0000
W1 0.0000 0.5000 0.0000
W2 0.5000 0.0000 0.0000
Ti1 0.5000 0.5000 0.5000
# Formation enthalpy at 0 K (eV per atom): 1.42

No. 6
# CdAg2Cl (GGA-PBEsol, relaxed)
data_CdAg2Cl
_symmetry_space_group_name_H-M 'P 1'
_symmetry_Int_Tables_number 1
_cell_length_a 3.4251
_cell_length_b 3.6358
_cell_length_c 6.5880
_cell_angle_alpha 90.00
_cell_angle_beta 89.95
_cell_angle_gamma 90.00
loop_
_symmetry_equiv_pos_as_xyz
'x,y,z'
loop_
_atom_site_label
_atom_site_fract_x
_atom_site_fract_y
_atom_site_fract_z
Cl1 0.0000 0.5000 0.5000
Ag1 0.0000 0.0000 0.7924
Ag2 0.0000 0.0000 0.2076
Cd1 0.5000 0.5000 0.0000
# Total energy (eV per atom): -2.565

No. 7
# La2TlPt (GGA-PBEsol, relaxed)
data_La2TlPt
_symmetry_space_group_name_H-M 'P 1'
_symmetry_Int_Tables_number 1
_cell_length_a 4.4727
_cell_length_b 4.4727
_cell_length_c 5.9257
_cell_angle_alpha 112.17
_cell_angle_beta 112.17
_cell_angle_gamma 90.00
loop_
_symmetry_equiv_pos_as_xyz
'x,y,z'
loop_
_atom_site_label
_atom_site_fract_x
_atom_site_fract_y
_atom_site_fract_z
La1 0.0000 0.0000 0.0000
La2 0.7500 0.2500 0.5000
Pt1 0.5000 0.5000 0.0000
Tl1 0.2500 0.7500 0.5000
# Formation enthalpy at 0 K (eV per atom): -0.55

No. 8
# K2TlAu (GGA-PBEsol, relaxed)
data_K2TlAu
_symmetry_space_group_name_H-M 'P 1'
_symmetry_Int_Tables_number 1
_cell_length_a 4.9683
_cell_length_b 4.7325
_cell_length_c 6.5700
_cell_angle_alpha 90.00
_cell_angle_beta 112.22
_cell_angle_gamma 90.00
loop_
_symmetry_equiv_pos_as_xyz
'x,y,z'
loop_
_atom_site_label
_atom_site_fract_x
_atom_site_fract_y
_atom_site_fract_z
Tl1 0.8091 0.0000 0.6181
Au1 0.6903 0.5000 0.3806
K1 0.1048 0.0000 0.2097
K2 0.4024 0.5000 0.8048
# Formation enthalpy at 0 K (eV per atom): -0.12

No. 9
# Te4W3S2 (GGA-PBEsol, relaxed)
data_Te4W3S2
_symmetry_space_group_name_H-M 'P 1'
_symmetry_Int_Tables_number 1
_cell_length_a 3.3624
_cell_length_b 3.3624
_cell_length_c 21.2888
_cell_angle_alpha 90.00
_cell_angle_beta 90.00
_cell_angle_gamma 120.00
loop_
_symmetry_equiv_pos_as_xyz
'x,y,z'
loop_
_atom_site_label
_atom_site_fract_x
_atom_site_fract_y
_atom_site_fract_z
Te1 0.6667 0.3333 0.3975
Te2 0.6667 0.3333 0.7784
Te3 0.6667 0.3333 0.2216
Te4 0.6667 0.3333 0.6025
W1 0.0000 0.0000 0.3096
W2 0.0000 0.0000 0.6904
W3 0.6667 0.3333 0.0000
S1 0.0000 0.0000 0.9297
S2 0.0000 0.0000 0.0703
# Total energy (eV per atom): -7.421

No. 10
# SiGeBr2 (GGA-PBEsol, relaxed)
data_SiGeBr2
_symmetry_space_group_name_H-M 'P 1'
_symmetry_Int_Tables_number 1
_cell_length_a 3.3871
_cell_length_b 3.3871
_cell_length_c 9.5468
_cell_angle_alpha 79.78
_cell_angle_beta 79.78
_cell_angle_gamma 60.00
loop_
_symmetry_equiv_pos_as_xyz
'x,y,z'
loop_
_atom_site_label
_atom_site_fract_x
_atom_site_fract_y
_atom_site_fract_z
Ge1 0.5000 0.5000 0.5000
Si1 0.0000 0.0000 0.0000
Br1 0.9096 0.9096 0.2712
Br2 0.0904 0.0904 0.7288
# Total energy (eV per atom): -3.394

No. 11
# Cr2SiSb (GGA-PBEsol, relaxed)
data_Cr2SiSb
_symmetry_space_group_name_H-M 'P 1'
_symmetry_Int_Tables_number 1
_cell_length_a 4.1412
_cell_length_b 4.1412
_cell_length_c 8.9363
_cell_angle_alpha 103.40
_cell_angle_beta 103.40
_cell_angle_gamma 90.00
loop_
_symmetry_equiv_pos_as_xyz
'x,y,z'
loop_
_atom_site_label
_atom_site_fract_x
_atom_site_fract_y
_atom_site_fract_z
Sb1 0.2500 0.7500 0.5000
Sb2 0.0000 0.0000 0.0000
Si1 0.7500 0.2500 0.5000
Si2 0.5000 0.5000 0.0000
Cr1 0.3987 0.8750 0.2500
Cr2 0.8513 0.3750 0.2500
Cr3 0.1250 0.1487 0.7500
Cr4 0.6250 0.6013 0.7500
# Total energy (eV per atom): -7.030

No. 12
# ScH2CCl (GGA-PBEsol, relaxed)
data_ScH2CCl
_symmetry_space_group_name_H-M 'P 1'
_symmetry_Int_Tables_number 1
_cell_length_a 3.4326
_cell_length_b 3.4326
_cell_length_c 4.4791
_cell_angle_alpha 90.00
_cell_angle_beta 90.00
_cell_angle_gamma 90.00
loop_
_symmetry_equiv_pos_as_xyz
'x,y,z'
loop_
_atom_site_label
_atom_site_fract_x
_atom_site_fract_y
_atom_site_fract_z
Sc1 0.0000 0.0000 0.5000
H1 0.0000 0.5000 0.0000
H2 0.5000 0.0000 0.0000
C1 0.0000 0.0000 0.0000
Cl1 0.5000 0.5000 0.5000
# Total energy (eV per atom): -4.837

No. 13
# Sr2TeRh (GGA-PBEsol, relaxed)
data_Sr2TeRh
_symmetry_space_group_name_H-M 'P 1'
_symmetry_Int_Tables_number 1
_cell_length_a 4.0469
_cell_length_b 5.1330
_cell_length_c 5.1330
_cell_angle_alpha 90.00
_cell_angle_beta 90.00
_cell_angle_gamma 90.00
loop_
_symmetry_equiv_pos_as_xyz
'x,y,z'
loop_
_atom_site_label
_atom_site_fract_x
_atom_site_fract_y
_atom_site_fract_z
Rh1 0.5000 0.0000 0.0000
Sr1 0.0000 0.0000 0.5000
Sr2 0.0000 0.5000 0.0000
Te1 0.5000 0.5000 0.5000
# Total energy (eV per atom): -4.414

No. 14
# LiHgAu2 (GGA-PBEsol, relaxed)
data_LiHgAu2
_symmetry_space_group_name_H-M 'P 1'
_symmetry_Int_Tables_number 1
_cell_length_a 2.8537
_cell_length_b 3.9545
_cell_length_c 6.0540
_cell_angle_alpha 90.00
_cell_angle_beta 90.00
_cell_angle_gamma 90.00
loop_
_symmetry_equiv_pos_as_xyz
'x,y,z'
loop_
_atom_site_label
_atom_site_fract_x
_atom_site_fract_y
_atom_site_fract_z
Au1 0.0000 0.0000 0.7269
Au2 0.0000 0.0000 0.2731
Hg1 0.5000 0.5000 0.0000
Li1 0.5000 0.5000 0.5000
# Formation enthalpy at 0 K (eV per atom): -0.26

No. 15
# LaCo2 (GGA-PBEsol, relaxed)
data_LaCo2
_symmetry_space_group_name_H-M 'P 1'
_symmetry_Int_Tables_number 1
_cell_length_a 3.6682
_cell_length_b 3.8764
_cell_length_c 7.6237
_cell_angle_alpha 90.00
_cell_angle_beta 103.92
_cell_angle_gamma 90.00
loop_
_symmetry_equiv_pos_as_xyz
'x,y,z'
loop_
_atom_site_label
_atom_site_fract_x
_atom_site_fract_y
_atom_site_fract_z
Co1 0.7504 0.7500 0.5009
Co2 0.8459 0.2500 0.6918
Co3 0.1541 0.7500 0.3082
Co4 0.2496 0.2500 0.4991
La1 0.4084 0.7500 0.8168
La2 0.5916 0.2500 0.1832
# Formation enthalpy at 0 K (eV per atom): 0.12

No. 16
# Y2ClF (GGA-PBEsol, relaxed)
data_Y2ClF
_symmetry_space_group_name_H-M 'P 1'
_symmetry_Int_Tables_number 1
_cell_length_a 4.6524
_cell_length_b 4.6524
_cell_length_c 4.6524
_cell_angle_alpha 60.00
_cell_angle_beta 60.00
_cell_angle_gamma 60.00
loop_
_symmetry_equiv_pos_as_xyz
'x,y,z'
loop_
_atom_site_label
_atom_site_fract_x
_atom_site_fract_y
_atom_site_fract_z
Y1 0.2500 0.2500 0.2500
Y2 0.7500 0.7500 0.7500
F1 0.0000 0.0000 0.0000
Cl1 0.5000 0.5000 0.5000
# Total energy (eV per atom): -5.647

No. 17
# DySb (GGA-PBEsol, relaxed)
data_DySb
_symmetry_space_group_name_H-M 'P 1'
_symmetry_Int_Tables_number 1
_cell_length_a 4.3131
_cell_length_b 4.3131
_cell_length_c 4.3131
_cell_angle_alpha 60.00
_cell_angle_beta 60.00
_cell_angle_gamma 60.00
loop_
_symmetry_equiv_pos_as_xyz
'x,y,z'
loop_
_atom_site_label
_atom_site_fract_x
_atom_site_fract_y
_atom_site_fract_z
Sb1 0.0000 0.0000 0.0000
Dy1 0.5000 0.5000 0.5000
# Total energy (eV per atom): -5.922

No. 18
# MgPPt (GGA-PBEsol, relaxed)
data_MgPPt
_symmetry_space_group_name_H-M 'P 1'
_symmetry_Int_Tables_number 1
_cell_length_a 3.5014
_cell_length_b 3.5014
_cell_length_c 4.5378
_cell_angle_alpha 112.69
_cell_angle_beta 112.69
_cell_angle_gamma 90.00
loop_
_symmetry_equiv_pos_as_xyz
'x,y,z'
loop_
_atom_site_label
_atom_site_fract_x
_atom_site_fract_y
_atom_site_fract_z
P1 0.3393 0.3393 0.6785
Mg1 0.0054 0.0054 0.0109
Pt1 0.6553 0.6553 0.3106
# Formation enthalpy at 0 K (eV per atom): -0.34

No. 19
# Cl (GGA-PBEsol, relaxed)
data_Cl
_symmetry_space_group_name_H-M 'P 1'
_symmetry_Int_Tables_number 1
_cell_length_a 3.9594
_cell_length_b 3.9594
_cell_length_c 6.5408
_cell_angle_alpha 90.00
_cell_angle_beta 90.00
_cell_angle_gamma 120.00
loop_
_symmetry_equiv_pos_as_xyz
'x,y,z'
loop_
_atom_site_label
_atom_site_fract_x
_atom_site_fract_y
_atom_site_fract_z
Cl1 0.0000 0.9164 0.8333
Cl2 0.9164 0.0000 0.5000
Cl3 0.0836 0.0836 0.1667
# Total energy (eV per atom): -1.897

No. 20
# Al2Ag (GGA-PBEsol, relaxed)
data_Al2Ag
_symmetry_space_group_name_H-M 'P 1'
_symmetry_Int_Tables_number 1
_cell_length_a 4.0254
_cell_length_b 4.0131
_cell_length_c 6.4013
_cell_angle_alpha 71.73
_cell_angle_beta 90.00
_cell_angle_gamma 90.00
loop_
_symmetry_equiv_pos_as_xyz
'x,y,z'
loop_
_atom_site_label
_atom_site_fract_x
_atom_site_fract_y
_atom_site_fract_z
Al1 0.5000 0.0000 0.0000
Al2 0.5000 0.6674 0.6653
Al3 0.0000 0.5000 0.0000
Al4 0.5000 0.3326 0.3347
Ag1 0.0000 0.1645 0.6709
Ag2 0.0000 0.8355 0.3291
# Formation enthalpy at 0 K (eV per atom): 0.00